Record 1
# SCAN K2SrCl4, PBEsol geometry
data_K2SrCl4
_symmetry_space_group_name_H-M 'P 1'
_symmetry_Int_Tables_number 1
_cell_length_a 7.807
_cell_length_b 12.931
_cell_length_c 7.942
_cell_angle_alpha 90.00
_cell_angle_beta 109.22
_cell_angle_gamma 90.00
loop_
_symmetry_equiv_pos_as_xyz
'x,y,z'
loop_
_atom_site_label
_atom_site_fract_x
_atom_site_fract_y
_atom_site_fract_z
K1 0.000 0.055 0.000
K2 0.000 0.945 0.500
K3 0.033 0.376 0.168
K4 0.033 0.624 0.668
K5 0.356 0.190 0.600
K6 0.356 0.810 0.100
K7 0.475 0.442 0.969
K8 0.475 0.558 0.469
Sr1 0.556 0.123 0.162
Sr2 0.556 0.877 0.662
Sr3 0.874 0.295 0.634
Sr4 0.874 0.705 0.134
Cl1 0.188 0.414 0.589
Cl2 0.188 0.586 0.089
Cl3 0.203 0.241 0.935
Cl4 0.203 0.759 0.435
Cl5 0.331 0.003 0.322
Cl6 0.331 0.997 0.822
Cl7 0.522 0.308 0.356
Cl8 0.522 0.692 0.856
Cl9 0.692 0.242 0.921
Cl10 0.692 0.758 0.421
Cl11 0.734 0.070 0.616
Cl12 0.734 0.930 0.116
Cl13 0.789 0.478 0.788
Cl14 0.789 0.522 0.288
Cl15 0.952 0.177 0.354
Cl16 0.952 0.823 0.854
# Crystal system: monoclinic
# Formation energy (no corrections) (eV/f.u.): -16.978
# Offset from the most stable computed form (meV per atom): 1.0



Record 2
# SCAN Fe2Rh, PBEsol geometry
data_Fe2Rh
_symmetry_space_group_name_H-M 'P 1'
_symmetry_Int_Tables_number 1
_cell_length_a 4.121
_cell_length_b 12.426
_cell_length_c 2.862
_cell_angle_alpha 90.00
_cell_angle_beta 90.00
_cell_angle_gamma 90.00
loop_
_symmetry_equiv_pos_as_xyz
'x,y,z'
loop_
_atom_site_label
_atom_site_fract_x
_atom_site_fract_y
_atom_site_fract_z
Fe1 0.000 0.081 0.250
Fe2 0.000 0.244 0.750
Fe3 0.000 0.756 0.250
Fe4 0.000 0.919 0.750
Fe5 0.500 0.256 0.250
Fe6 0.500 0.419 0.750
Fe7 0.500 0.581 0.250
Fe8 0.500 0.744 0.750
Rh1 0.000 0.408 0.250
Rh2 0.000 0.592 0.750
Rh3 0.500 0.092 0.750
Rh4 0.500 0.908 0.250
# Crystal system: orthorhombic



| no. | uncorrected energy (eV per cell) | density (g cm⁻³) |
| --- | --- | --- |
| 1 | -351.3 | 2.7 |
| 2 | -282.0 | 9.7 |